(1)
Entry from the Alexandria database: TiZnAg2 after structural relaxation (PBE-GGA).

a = 4.8012 Å, b = 4.8012 Å, c = 2.9379 Å
α = 90.00°, β = 90.00°, γ = 90.00°
Fractional positions:
Ti 0.0000 0.0000 0.0000
Zn 0.5000 0.5000 0.0000
Ag 0.0000 0.5000 0.5000
Ag 0.5000 0.0000 0.5000

Properties
Its calculated density is 8.07 g cm⁻³. The formation energy from the elements comes out at 0.136 eV/atom.

=====

(2)
Entry from the Alexandria database: MgBeAg after structural relaxation (PBE-GGA).

a = 2.9285 Å, b = 2.9285 Å, c = 6.4453 Å
α = 90.00°, β = 90.00°, γ = 120.00°
Fractional positions:
Mg 0.0000 0.0000 0.0000
Be 0.3333 0.6667 0.6686
Ag 0.6667 0.3333 0.3803

Properties
Its calculated density is 4.90 g cm⁻³. The formation energy from the elements comes out at 0.268 eV/atom. The energy relative to the lowest polymorph listed for this composition comes out at 182 meV per atom.